Compound: TbScTeC
Source: the Open Quantum Materials Database
Functional: GGA-PBE
Structure: relaxed

Properties
* size of the total moment: 0.0 μB per cell
* energy above the lowest structure with this stoichiometry: 3.3 meV/atom

Unit cell a=3.7135 b=3.7135 c=13.6896 alpha=90.00 beta=90.00 gamma=120.00
Fractional coordinates of all 8 atoms:
1 Tb 0.3333 0.6667 0.0979
2 Tb 0.6667 0.3333 0.9021
3 Sc 0.3333 0.6667 0.4147
4 Sc 0.6667 0.3333 0.5853
5 Te 0.3333 0.6667 0.7349
6 Te 0.6667 0.3333 0.2651
7 C 0.0000 0.0000 0.0000
8 C 0.0000 0.0000 0.5000

***

Compound: Sc2ZnTcC
Source: the Open Quantum Materials Database
Functional: GGA-PBE
Structure: relaxed

Properties
* size of the total moment: 0.0 μB per cell
* VASP energy: -7.10 eV/atom

Unit cell a=4.5211 b=4.5211 c=3.9644 alpha=90.00 beta=90.00 gamma=90.00
Fractional coordinates of all 5 atoms:
1 Sc 0.0000 0.5000 0.0000
2 Sc 0.5000 0.0000 0.0000
3 Zn 0.0000 0.0000 0.5000
4 Tc 0.5000 0.5000 0.5000
5 C 0.5000 0.5000 0.0000

***

Compound: ZrSc3Te2C2
Source: the Open Quantum Materials Database
Functional: GGA-PBE
Structure: relaxed

Properties
* size of the total moment: 0.0 μB per cell
* VASP energy: -7.39 eV/atom

Unit cell a=3.5604 b=3.5604 c=13.3215 alpha=90.00 beta=90.00 gamma=120.00
Fractional coordinates of all 8 atoms:
1 Zr 0.0000 0.0000 0.0000
2 Sc 0.0000 0.0000 0.3236
3 Sc 0.3333 0.6667 0.5004
4 Sc 0.3333 0.6667 0.8205
5 Te 0.0000 0.0000 0.6608
6 Te 0.3333 0.6667 0.1602
7 C 0.6667 0.3333 0.4105
8 C 0.6667 0.3333 0.9124

***

Compound: ZrSc3Te2C2
Source: the Open Quantum Materials Database
Functional: GGA-PBE
Structure: relaxed

Properties
* size of the total moment: 0.0 μB per cell
* VASP energy: -7.39 eV/atom

Unit cell a=3.5601 b=3.5601 c=13.3196 alpha=90.00 beta=90.00 gamma=120.00
Fractional coordinates of all 8 atoms:
1 Zr 0.0000 0.0000 0.0000
2 Sc 0.0000 0.0000 0.6763
3 Sc 0.6667 0.3333 0.1795
4 Sc 0.6667 0.3333 0.4996
5 Te 0.0000 0.0000 0.3392
6 Te 0.6667 0.3333 0.8398
7 C 0.3333 0.6667 0.0875
8 C 0.3333 0.6667 0.5895

***

Compound: Sc4Tl3W2C3
Source: the Open Quantum Materials Database
Functional: GGA-PBE
Structure: relaxed

Properties
* size of the total moment: 0.0 μB per cell
* VASP energy: -7.55 eV/atom

Unit cell a=5.7048 b=5.7048 c=14.8792 alpha=101.29 beta=101.29 gamma=60.28
Fractional coordinates of all 24 atoms:
1 Sc 0.0409 0.1835 0.0854
2 Sc 0.1253 0.3054 0.4145
3 Sc 0.1835 0.0409 0.5854
4 Sc 0.3054 0.1253 0.9145
5 Sc 0.6946 0.8747 0.0855
6 Sc 0.8165 0.9591 0.4146
7 Sc 0.8747 0.6946 0.5855
8 Sc 0.9591 0.8165 0.9146
9 Tl 0.1071 0.8929 0.2500
10 Tl 0.2707 0.4185 0.7526
11 Tl 0.4185 0.2707 0.2526
12 Tl 0.5815 0.7293 0.7474
13 Tl 0.7293 0.5815 0.2474
14 Tl 0.8929 0.1071 0.7500
15 W 0.3455 0.5226 0.0680
16 W 0.4774 0.6545 0.4320
17 W 0.5226 0.3455 0.5680
18 W 0.6545 0.4774 0.9320
19 C 0.0000 0.5000 0.0000
20 C 0.1852 0.6575 0.5000
21 C 0.3425 0.8148 0.0000
22 C 0.5000 0.0000 0.5000
23 C 0.6575 0.1852 0.0000
24 C 0.8148 0.3425 0.5000

***

Compound: Zr4Sc2Tl3C3
Source: the Open Quantum Materials Database
Functional: GGA-PBE
Structure: relaxed

Properties
* size of the total moment: 0.0 μB per cell
* VASP energy: -7.39 eV/atom

Unit cell a=5.8536 b=5.8536 c=15.5730 alpha=100.87 beta=100.87 gamma=60.02
Fractional coordinates of all 24 atoms:
1 Zr 0.0231 0.1973 0.0806
2 Zr 0.1433 0.3063 0.4194
3 Zr 0.1973 0.0231 0.5806
4 Zr 0.3063 0.1433 0.9194
5 Zr 0.6937 0.8567 0.0806
6 Zr 0.8027 0.9769 0.4194
7 Zr 0.8567 0.6937 0.5806
8 Zr 0.9769 0.8027 0.9194
9 Sc 0.3643 0.5277 0.0819
10 Sc 0.4723 0.6357 0.4181
11 Sc 0.5277 0.3643 0.5819
12 Sc 0.6357 0.4723 0.9181
13 Tl 0.0756 0.9244 0.2500
14 Tl 0.2438 0.4157 0.7489
15 Tl 0.4157 0.2438 0.2489
16 Tl 0.5843 0.7562 0.7511
17 Tl 0.7562 0.5843 0.2511
18 Tl 0.9244 0.0756 0.7500
19 C 0.0000 0.5000 0.0000
20 C 0.1607 0.6696 0.5000
21 C 0.3304 0.8393 0.0000
22 C 0.5000 0.0000 0.5000
23 C 0.6696 0.1607 0.0000
24 C 0.8393 0.3304 0.5000

***

Compound: ScUC2
Source: the Open Quantum Materials Database
Functional: GGA-PBE
Structure: relaxed

Properties
* size of the total moment: 0.0 μB per cell
* VASP energy: -9.35 eV/atom

Unit cell a=5.8200 b=5.8200 c=5.8200 alpha=34.69 beta=34.69 gamma=34.69
Fractional coordinates of all 4 atoms:
1 Sc 0.0000 0.0000 0.0000
2 U 0.5000 0.5000 0.5000
3 C 0.2452 0.2452 0.2452
4 C 0.7548 0.7548 0.7548

***

Compound: ScWC2
Source: the Open Quantum Materials Database
Functional: GGA-PBE
Structure: relaxed

Properties
* size of the total moment: 0.0 μB per cell
* VASP energy: -9.80 eV/atom

Unit cell a=5.5746 b=5.5746 c=5.5746 alpha=32.59 beta=32.59 gamma=32.59
Fractional coordinates of all 4 atoms:
1 Sc 0.0000 0.0000 0.0000
2 W 0.5000 0.5000 0.5000
3 C 0.2442 0.2442 0.2442
4 C 0.7558 0.7558 0.7558

***

Compound: YScW2C3
Source: the Open Quantum Materials Database
Functional: GGA-PBE
Structure: relaxed

Properties
* size of the total moment: 0.0 μB per cell
* VASP energy: -9.84 eV/atom

Unit cell a=5.9847 b=5.9847 c=5.5983 alpha=110.11 beta=110.11 gamma=31.66
Fractional coordinates of all 7 atoms:
1 Y 0.0000 0.0000 0.0000
2 Sc 0.7760 0.7760 0.3440
3 W 0.2393 0.2393 0.8548
4 W 0.5476 0.5476 0.5097
5 C 0.1484 0.1484 0.4425
6 C 0.3895 0.3895 0.1935
7 C 0.6430 0.6430 0.9219

***

Compound: Sc2Zn3W4C3
Source: the Open Quantum Materials Database
Functional: GGA-PBE
Structure: relaxed

Properties
* size of the total moment: 0.0 μB per cell
* VASP energy: -8.25 eV/atom

Unit cell a=5.3659 b=5.3659 c=13.9708 alpha=101.70 beta=101.70 gamma=60.06
Fractional coordinates of all 24 atoms:
1 Sc 0.0383 0.8770 0.6087
2 Sc 0.1230 0.9617 0.8913
3 Sc 0.8770 0.0383 0.1087
4 Sc 0.9617 0.1230 0.3913
5 Zn 0.0877 0.3972 0.7518
6 Zn 0.3972 0.0877 0.2518
7 Zn 0.4310 0.5690 0.2500
8 Zn 0.5690 0.4310 0.7500
9 Zn 0.6028 0.9123 0.7482
10 Zn 0.9123 0.6028 0.2482
11 W 0.1944 0.3511 0.0807
12 W 0.2943 0.4830 0.4192
13 W 0.3511 0.1944 0.5807
14 W 0.4830 0.2943 0.9192
15 W 0.5170 0.7057 0.0808
16 W 0.6489 0.8056 0.4193
17 W 0.7057 0.5170 0.5808
18 W 0.8056 0.6489 0.9193
19 C 0.0000 0.5000 0.5000
20 C 0.1674 0.6650 0.9999
21 C 0.3350 0.8326 0.5001
22 C 0.5000 0.0000 0.0000
23 C 0.6650 0.1674 0.4999
24 C 0.8326 0.3350 0.0001

***

Compound: Sc2ZnC
Source: the Open Quantum Materials Database
Functional: GGA-PBE
Structure: relaxed

Properties
* size of the total moment: 0.0 μB per cell
* VASP energy: -6.17 eV/atom

Unit cell a=5.7105 b=5.7105 c=15.1685 alpha=100.78 beta=100.78 gamma=59.93
Fractional coordinates of all 24 atoms:
1 Sc 0.0285 0.8639 0.5885
2 Sc 0.1361 0.9715 0.9115
3 Sc 0.1930 0.3600 0.0807
4 Sc 0.3058 0.4738 0.4194
5 Sc 0.3600 0.1930 0.5807
6 Sc 0.4738 0.3058 0.9194
7 Sc 0.5262 0.6942 0.0806
8 Sc 0.6400 0.8070 0.4193
9 Sc 0.6942 0.5262 0.5806
10 Sc 0.8070 0.6400 0.9193
11 Sc 0.8639 0.0285 0.0885
12 Sc 0.9715 0.1361 0.4115
13 Zn 0.0843 0.4007 0.7505
14 Zn 0.4007 0.0843 0.2505
15 Zn 0.4207 0.5793 0.2500
16 Zn 0.5793 0.4207 0.7500
17 Zn 0.5993 0.9157 0.7495
18 Zn 0.9157 0.5993 0.2495
19 C 0.0000 0.5000 0.5000
20 C 0.1629 0.6743 0.9998
21 C 0.3257 0.8371 0.5002
22 C 0.5000 0.0000 0.0000
23 C 0.6743 0.1629 0.4998
24 C 0.8371 0.3257 0.0002

***

Compound: Sm2C2Se
Source: the Open Quantum Materials Database
Functional: GGA-PBE
Structure: relaxed

Properties
* size of the total moment: 0.0 μB per cell
* VASP energy: -6.30 eV/atom

Unit cell a=7.6679 b=5.0593 c=9.7685 alpha=90.00 beta=90.00 gamma=90.00
Fractional coordinates of all 20 atoms:
1 Sm 0.0437 0.2500 0.1989
2 Sm 0.1367 0.2500 0.5838
3 Sm 0.3633 0.7500 0.0838
4 Sm 0.4563 0.7500 0.6989
5 Sm 0.5437 0.2500 0.3011
6 Sm 0.6367 0.2500 0.9162
7 Sm 0.8633 0.7500 0.4162
8 Sm 0.9563 0.7500 0.8011
9 C 0.1027 0.7500 0.2492
10 C 0.1204 0.7500 0.5950
11 C 0.3796 0.2500 0.0950
12 C 0.3973 0.2500 0.7492
13 C 0.6027 0.7500 0.2508
14 C 0.6204 0.7500 0.9050
15 C 0.8796 0.2500 0.4050
16 C 0.8973 0.2500 0.7508
17 Se 0.2396 0.2500 0.9205
18 Se 0.2604 0.7500 0.4205
19 Se 0.7396 0.2500 0.5795
20 Se 0.7604 0.7500 0.0795

***

Compound: Zr4SnC2Se
Source: the Open Quantum Materials Database
Functional: GGA-PBE
Structure: relaxed

Properties
* size of the total moment: 0.0 μB per cell
* VASP energy: -8.50 eV/atom

Unit cell a=3.4333 b=3.4333 c=13.6948 alpha=90.00 beta=90.00 gamma=120.00
Fractional coordinates of all 8 atoms:
1 Zr 0.0000 0.0000 0.1431
2 Zr 0.0000 0.0000 0.8569
3 Zr 0.3333 0.6667 0.3234
4 Zr 0.3333 0.6667 0.6766
5 Sn 0.0000 0.0000 0.5000
6 C 0.6667 0.3333 0.2342
7 C 0.6667 0.3333 0.7658
8 Se 0.3333 0.6667 0.0000

***

Compound: Ta2TeCSe
Source: the Open Quantum Materials Database
Functional: GGA-PBE
Structure: relaxed

Properties
* size of the total moment: 0.0 μB per cell
* VASP energy: -8.55 eV/atom

Unit cell a=3.3778 b=3.3778 c=10.0215 alpha=90.00 beta=90.00 gamma=120.00
Fractional coordinates of all 5 atoms:
1 Ta 0.0000 0.0000 0.0000
2 Ta 0.3333 0.6667 0.2258
3 Te 0.0000 0.0000 0.4325
4 C 0.6667 0.3333 0.1160
5 Se 0.3333 0.6667 0.8245

***

Compound: Tb4TeC2Se
Source: the Open Quantum Materials Database
Functional: GGA-PBE
Structure: relaxed

Properties
* size of the total moment: 0.0 μB per cell
* VASP energy: -6.44 eV/atom

Unit cell a=3.8093 b=3.8093 c=13.7834 alpha=90.00 beta=90.00 gamma=120.00
Fractional coordinates of all 8 atoms:
1 Tb 0.0000 0.0000 0.1439
2 Tb 0.0000 0.0000 0.8561
3 Tb 0.6667 0.3333 0.3374
4 Tb 0.6667 0.3333 0.6626
5 Te 0.0000 0.0000 0.5000
6 C 0.3333 0.6667 0.2420
7 C 0.3333 0.6667 0.7580
8 Se 0.6667 0.3333 0.0000

***

Compound: Tb2TeCSe
Source: the Open Quantum Materials Database
Functional: GGA-PBE
Structure: relaxed

Properties
* size of the total moment: 0.0 μB per cell
* VASP energy: -5.65 eV/atom

Unit cell a=3.6577 b=3.6577 c=11.2055 alpha=90.00 beta=90.00 gamma=120.00
Fractional coordinates of all 5 atoms:
1 Tb 0.0000 0.0000 0.0000
2 Tb 0.3333 0.6667 0.2507
3 Te 0.0000 0.0000 0.4718
4 C 0.6667 0.3333 0.1340
5 Se 0.3333 0.6667 0.8251

***

Compound: Tb3TmC2Se2
Source: the Open Quantum Materials Database
Functional: GGA-PBE
Structure: relaxed

Properties
* size of the total moment: 0.0 μB per cell
* VASP energy: -6.62 eV/atom

Unit cell a=3.7604 b=3.7604 c=13.2880 alpha=90.00 beta=90.00 gamma=120.00
Fractional coordinates of all 8 atoms:
1 Tb 0.0000 0.0000 0.0000
2 Tb 0.0000 0.0000 0.3010
3 Tb 0.6667 0.3333 0.7972
4 Tm 0.6667 0.3333 0.4994
5 C 0.3333 0.6667 0.4019
6 C 0.3333 0.6667 0.8985
7 Se 0.0000 0.0000 0.6448
8 Se 0.6667 0.3333 0.1498

***

Compound: TbTmCSe
Source: the Open Quantum Materials Database
Functional: GGA-PBE
Structure: relaxed

Properties
* size of the total moment: 0.0 μB per cell
* VASP energy: -6.61 eV/atom

Unit cell a=3.7400 b=3.7400 c=13.2102 alpha=90.00 beta=90.00 gamma=120.00
Fractional coordinates of all 8 atoms:
1 Tb 0.3333 0.6667 0.1024
2 Tb 0.6667 0.3333 0.8976
3 Tm 0.3333 0.6667 0.4023
4 Tm 0.6667 0.3333 0.5977
5 C 0.0000 0.0000 0.0000
6 C 0.0000 0.0000 0.5000
7 Se 0.3333 0.6667 0.7451
8 Se 0.6667 0.3333 0.2549

***

Compound: TbTmCSe
Source: the Open Quantum Materials Database
Functional: GGA-PBE
Structure: relaxed

Properties
* size of the total moment: 0.0 μB per cell
* VASP energy: -6.61 eV/atom

Unit cell a=3.7402 b=3.7402 c=13.2086 alpha=90.00 beta=90.00 gamma=120.00
Fractional coordinates of all 8 atoms:
1 Tb 0.0000 0.0000 0.1523
2 Tb 0.0000 0.0000 0.8477
3 Tm 0.6667 0.3333 0.3523
4 Tm 0.6667 0.3333 0.6477
5 C 0.3333 0.6667 0.2548
6 C 0.3333 0.6667 0.7452
7 Se 0.0000 0.0000 0.5000
8 Se 0.6667 0.3333 0.0000

***

Compound: TbTm3C2Se2
Source: the Open Quantum Materials Database
Functional: GGA-PBE
Structure: relaxed

Properties
* size of the total moment: 0.0 μB per cell
* VASP energy: -6.61 eV/atom

Unit cell a=3.7207 b=3.7207 c=13.1366 alpha=90.00 beta=90.00 gamma=120.00
Fractional coordinates of all 8 atoms:
1 Tb 0.0000 0.0000 0.0000
2 Tm 0.0000 0.0000 0.6977
3 Tm 0.6667 0.3333 0.2016
4 Tm 0.6667 0.3333 0.5005
5 C 0.3333 0.6667 0.1025
6 C 0.3333 0.6667 0.5989
7 Se 0.0000 0.0000 0.3504
8 Se 0.6667 0.3333 0.8454

***

Compound: TbTmCSe
Source: the Open Quantum Materials Database
Functional: GGA-PBE
Structure: relaxed

Properties
* size of the total moment: 0.0 μB per cell
* VASP energy: -6.61 eV/atom

Unit cell a=3.7408 b=3.7408 c=13.2028 alpha=90.00 beta=90.00 gamma=120.00
Fractional coordinates of all 8 atoms:
1 Tb 0.3333 0.6667 0.0000
2 Tb 0.6667 0.3333 0.5000
3 Tm 0.3333 0.6667 0.7000
4 Tm 0.6667 0.3333 0.2000
5 C 0.0000 0.0000 0.1015
6 C 0.0000 0.0000 0.6015
7 Se 0.3333 0.6667 0.3465
8 Se 0.6667 0.3333 0.8465

***

Compound: Tb3ZrC2Se2
Source: the Open Quantum Materials Database
Functional: GGA-PBE
Structure: relaxed

Properties
* size of the total moment: 0.0 μB per cell
* VASP energy: -7.10 eV/atom

Unit cell a=3.6854 b=3.6854 c=13.2378 alpha=90.00 beta=90.00 gamma=120.00
Fractional coordinates of all 8 atoms:
1 Tb 0.0000 0.0000 0.0000
2 Tb 0.0000 0.0000 0.3031
3 Tb 0.3333 0.6667 0.5072
4 Zr 0.3333 0.6667 0.8058
5 C 0.6667 0.3333 0.4071
6 C 0.6667 0.3333 0.8908
7 Se 0.0000 0.0000 0.6663
8 Se 0.3333 0.6667 0.1499